4
Lattice="-1.917 1.773 2.643 -2.657 -2.591 -0.189 3.499 -3.968 5.200" Properties=species:S:1:pos:R:3 comment="Li2AcHg | Alexandria via LeMat-Bulk | PBE-GGA | relaxed" e_form_ev_per_atom=-0.13 density_g_cm3=7.16 crystal_system=tetragonal magnetic_moment_mub_per_cell=0.001 sg="P4/mmm (123)" dos_at_fermi_per_ev_atom=0.75 pbc="T T T"
Li 2.876 -3.260 4.272
Li 0.624 -0.707 0.927
Hg -2.287 -0.409 1.227
Ac -0.537 -2.393 3.827